No. 1
3
Lattice="2.027 1.185 4.059 -0.476 4.354 1.676 -2.637 0.775 3.800" Properties=species:S:1:pos:R:3 comment="BaNpTc GGA-PBE relaxed" dft_energy_ev_per_fu=-19.57 spacegroup="F-43m, No. 216" pbc="T T T"
Ba 0.000 0.000 0.000
Np -0.272 1.578 2.384
Tc -0.815 4.735 7.151

***

No. 2
3
Lattice="0.000 3.911 3.911 3.911 0.000 3.911 3.911 3.911 0.000" Properties=species:S:1:pos:R:3 comment="BaNpTe GGA-PBE relaxed" relative_energy_mev_per_atom=0 spacegroup="F-43m, No. 216" pbc="T T T"
Ba 1.956 1.956 1.956
Np 5.867 5.867 5.867
Te 0.000 0.000 0.000

***

No. 3
3
Lattice="0.000 3.944 3.944 3.944 0.000 3.944 3.944 3.944 0.000" Properties=species:S:1:pos:R:3 comment="BaNpTe GGA-PBE relaxed" relative_energy_mev_per_atom=552 spacegroup="F-43m, No. 216" pbc="T T T"
Ba 0.000 0.000 0.000
Np 1.972 1.972 1.972
Te 5.916 5.916 5.916

***

No. 4
3
Lattice="-1.507 -4.112 -3.561 -3.469 -4.103 1.732 -5.289 -0.239 -1.959" Properties=species:S:1:pos:R:3 comment="BaNpTl GGA-PBE relaxed" relative_energy_mev_per_atom=0 spacegroup="F-43m, No. 216" pbc="T T T"
Ba -2.566 -2.114 -0.947
Np -7.699 -6.341 -2.841
Tl 0.000 0.000 0.000

***

What did the first record say?
3
Lattice="2.027 1.185 4.059 -0.476 4.354 1.676 -2.637 0.775 3.800" Properties=species:S:1:pos:R:3 comment="BaNpTc GGA-PBE relaxed" dft_energy_ev_per_fu=-19.57 spacegroup="F-43m, No. 216" pbc="T T T"
Ba 0.000 0.000 0.000
Np -0.272 1.578 2.384
Tc -0.815 4.735 7.151